Computed, not measured: NbCrN2F after structural relaxation at the PBE+U level of DFT.

Output
DOS(E_F), states/eV per cell: 3.253
Total moment, μB per formula unit: 3.9
Total DFT energy (no corrections), eV per atom: -7.244

Cell lengths 3.9335, 3.9335, 3.6205 Å; angles 90.00, 90.00, 90.00 degrees
Site moments in Bohr magnetons follow the coordinates.
Atoms (fractional coordinates):
F (0.0000, 0.0000, 0.5000)  0.04
N (0.0000, 0.5000, 0.0000)  -0.20
N (0.5000, 0.0000, 0.0000)  -0.20
Cr (0.0000, 0.0000, 0.0000)  2.72
Nb (0.5000, 0.5000, 0.5000)  1.43